DFT (PBE) results for a relaxed ZrSbI2O crystal.

Cell: 6.1132 6.1132 4.0245 Å, 90.00 90.00 90.00°
Last column: nearest neighbours and their distance in Å.
Positions (direct):
Zr  0.5000  0.5000  0.5000  8 I 3.66, 2 Zr 4.02
I  0.5000  0.0000  0.0000  2 Sb 3.06
I  0.0000  0.5000  0.0000  2 Sb 3.06
O  0.0000  0.0000  0.5000  2 Sb 2.01
Sb  0.0000  0.0000  0.0000  2 O 2.01

The formation energy without anion corrections comes out at 0.1096 eV/atom. The total energy comes out at -4.036 eV per atom.